No. 1
DFT (PBE) results for a geometry-optimized MgBIr2Pt structure.

Output
Magnetic moment ... 0.00 μB/cell
Total DFT energy (no corrections) ... -6.730 eV per atom
ΔH_f (0 K) ... -0.32 eV/atom

```
MgBIr2Pt
1.0
-2.401 1.027 -3.216
2.647 -1.877 -2.576
-2.109 -3.570 0.435
Mg Ir B Pt
1 2 1 1
direct
0.500 0.500 0.500
0.000 0.500 0.000
0.500 0.000 0.000
0.000 0.000 0.000
0.000 0.000 0.500
```

No. 2
DFT (PBE) results for a geometry-optimized TiSiH3 structure.

Output
Magnetic moment ... 0.00 μB/cell
Total DFT energy (no corrections) ... -4.451 eV per atom

```
TiSiH3
1.0
3.494 0.000 0.000
0.000 3.494 0.000
0.000 0.000 3.494
H Si Ti
3 1 1
direct
0.000 0.500 0.000
0.000 0.000 0.500
0.500 0.000 0.000
0.500 0.500 0.500
0.000 0.000 0.000
```

No. 3
DFT (PBE) results for a geometry-optimized Fe2HgBi structure.

Output
Magnetic moment ... 11.38 μB/cell
Total DFT energy (no corrections) ... -4.520 eV per atom
ΔH_f (0 K) ... 0.76 eV/atom

```
Fe2HgBi
1.0
-0.019 4.286 -0.003
-4.130 -0.018 1.146
0.436 2.152 9.620
Fe Bi Hg
4 2 2
direct
0.541 0.125 0.250
0.209 0.625 0.250
0.375 0.459 0.750
0.875 0.791 0.750
0.000 0.000 0.000
0.750 0.250 0.500
0.500 0.500 0.000
0.250 0.750 0.500
```

No. 4
DFT (PBE) results for a geometry-optimized Hf4ThGe4 structure.

Output
Magnetic moment ... 0.00 μB/cell
Total DFT energy (no corrections) ... -7.689 eV per atom
ΔH_f (0 K) ... -0.39 eV/atom

```
Hf4ThGe4
1.0
-4.078 1.128 -3.234
-5.523 -0.081 6.936
1.420 8.665 1.231
Hf Th Ge
8 2 8
direct
0.391 0.361 0.884
0.891 0.616 0.861
0.391 0.639 0.116
0.109 0.139 0.616
0.609 0.884 0.639
0.109 0.861 0.384
0.891 0.384 0.139
0.609 0.116 0.361
0.000 0.000 0.000
0.500 0.500 0.500
0.598 0.807 0.347
0.598 0.193 0.653
0.098 0.847 0.693
0.902 0.307 0.847
0.902 0.693 0.153
0.402 0.347 0.193
0.402 0.653 0.807
0.098 0.153 0.307
```

No. 5
DFT (PBE) results for a geometry-optimized RbBiF structure.

Output
Magnetic moment ... 0.00 μB/cell
Total DFT energy (no corrections) ... -3.506 eV per atom
Formation energy without anion corrections ... -1.266 eV/atom

```
RbBiF
1.0
-1.467 4.872 2.663
0.523 -1.551 3.126
9.610 1.162 -3.024
Rb Bi F
2 2 2
direct
0.685 0.185 0.369
0.315 0.815 0.631
0.746 0.500 0.000
0.254 0.500 0.000
0.182 0.682 0.364
0.818 0.318 0.636
```

No. 6
DFT (PBE) results for a geometry-optimized TcNiP2Se structure.

Output
Magnetic moment ... 0.00 μB/cell
Total DFT energy (no corrections) ... -6.288 eV per atom
Formation energy without anion corrections ... -0.197 eV/atom

```
TcNiP2Se
1.0
6.496 0.000 0.002
0.000 3.207 0.000
-1.770 0.000 7.652
Tc Ni P Se
2 2 4 2
direct
0.645 0.000 0.850
0.645 0.500 0.350
0.022 0.000 0.066
0.022 0.500 0.566
0.770 0.000 0.587
0.770 0.500 0.087
0.961 0.000 0.347
0.961 0.500 0.847
0.401 0.000 0.122
0.401 0.500 0.622
```

No. 7
DFT (PBE) results for a geometry-optimized K2CoCuIr structure.

Output
Magnetic moment ... 2.24 μB/cell
Total DFT energy (no corrections) ... -3.322 eV per atom
ΔH_f (0 K) ... 1.13 eV/atom

```
K2CoCuIr
1.0
-1.511 5.539 -2.188
-4.251 -0.994 0.421
0.036 2.265 5.711
K Ir Co Cu
2 1 1 1
direct
0.000 0.000 0.500
0.500 0.000 0.000
0.000 0.500 0.000
0.000 0.000 0.000
0.500 0.500 0.500
```

No. 8
DFT (PBE) results for a geometry-optimized Sm4TePb2 structure.

Output
Magnetic moment ... 0.00 μB/cell
Total DFT energy (no corrections) ... -4.978 eV per atom
Formation energy without anion corrections ... -0.773 eV/atom

```
Sm4TePb2
1.0
-3.771 0.136 7.312
5.241 -6.337 -0.276
4.131 7.036 -1.068
Sm Te Pb
8 2 4
direct
0.121 0.891 0.376
0.624 0.745 0.515
0.980 0.609 0.735
0.265 0.245 0.874
0.629 0.755 0.020
0.770 0.255 0.879
0.485 0.109 0.230
0.126 0.391 0.371
0.000 0.000 0.000
0.750 0.500 0.250
0.875 0.125 0.500
0.500 0.375 0.625
0.375 0.875 0.750
0.250 0.625 0.125
```